PrNdIrRh: optimized geometry, PBE.

N(E_F)	1.6	states/eV per cell
excess energy over the best structure of this formula in the dataset	0.000	eV/atom
calculated formation energy	-0.64	eV per atom
total magnetization	0.0	Bohr magnetons per cell

a b c (Å): 4.255 5.856 5.856
angles (deg): 40.25 90.00 90.00
Fractional coordinates of all 4 atoms:
Pr (0.000, 0.000, 0.000)
Nd (0.500, 0.713, 0.713)
Ir (0.000, 0.276, 0.276)
Rh (0.500, 0.437, 0.437)